Entry 1:
VASP calculation (meta-GGA SCAN) on MnCo2Ru at its PBEsol-relaxed geometry.

Unit cell a=2.5082 b=3.5325 c=4.9789 alpha=90.00 beta=90.00 gamma=90.00
With the nearest neighbours (Å) after each atom.
Fractional coordinates of all 4 atoms:
Co 0.0000 0.0000 0.7554  4 Co 2.44-2.54, 4 Mn 2.49, 4 Ru 2.51
Co 0.0000 0.0000 0.2446  4 Co 2.44-2.54, 4 Mn 2.49, 4 Ru 2.51
Mn 0.5000 0.5000 0.0000  8 Co 2.49, 2 Ru 2.49, 2 Mn 2.51
Ru 0.5000 0.5000 0.5000  2 Mn 2.49, 2 Ru 2.51, 8 Co 2.51

As for the calculated volume: 11.03 A^3/atom. As for the uncorrected energy: -86.94 eV per formula unit. The value obtained for the excess energy over the best structure of this formula in the dataset is 16.7 kJ/mol of atoms. The value obtained for the density of states at the Fermi level is 4.90 states/eV per cell. As for the energy of formation from the pure elements: 0.188 eV per atom.

Entry 2:
VASP calculation (meta-GGA SCAN) on MoP2Br at its PBEsol-relaxed geometry.

Unit cell a=3.6354 b=3.6354 c=4.9396 alpha=90.00 beta=90.00 gamma=90.00
With the nearest neighbours (Å) after each atom.
Fractional coordinates of all 4 atoms:
Br 0.5000 0.5000 0.5000  4 Mo 2.57
Mo 0.0000 0.0000 0.5000  4 Br 2.57
P 0.0000 0.5000 0.0000  4 P 2.57
P 0.5000 0.0000 0.0000  4 P 2.57

As for the calculated volume: 16.32 A^3/atom. As for the uncorrected energy: -71.21 eV per formula unit. The value obtained for the formation energy (no corrections) is 0.984 eV per atom. The value obtained for the density of states at the Fermi level is 2.04 states/eV per cell.

Entry 3:
VASP calculation (meta-GGA SCAN) on Li2YPt2 at its PBEsol-relaxed geometry.

Unit cell a=3.6578 b=3.6578 c=6.9820 alpha=105.19 beta=105.19 gamma=90.00
With the nearest neighbours (Å) after each atom.
Fractional coordinates of all 5 atoms:
Y 0.0000 0.0000 0.0000  8 Pt 2.93
Pt 0.3945 0.3945 0.7891  4 Li 2.62, 1 Pt 2.74, 4 Y 2.93
Pt 0.6055 0.6055 0.2109  4 Li 2.62, 1 Pt 2.74, 4 Y 2.93
Li 0.2500 0.7500 0.5000  4 Li 2.59, 4 Pt 2.62
Li 0.7500 0.2500 0.5000  4 Li 2.59, 4 Pt 2.62

As for the calculated volume: 17.35 A^3/atom. As for the uncorrected energy: -177.44 eV per formula unit. The value obtained for the density of states at the Fermi level is 1.32 states/eV per cell. As for the energy of formation from the pure elements: -0.887 eV per atom.